[1]
This record from the Alexandria database describes a crystal of LiAlPb relaxed with PBEsol. The functional is SCAN.

Results
D(E_F) = 1.90 states/eV/cell
Final energy = -28.643 eV/atom
Theoretical density = 6.23 g/cm³
Total magnetic moment = 0.00 Bohr magnetons per cell
Energy relative to the elements = 0.00 eV/atom

Lattice parameters (Å, degrees): 3.214 3.214 12.451 90.00 90.00 90.00
Space group I4mm (No. 107)
Symmetry-distinct sites (fractional):
1 Li 0.000 0.000 0.000 (multiplicity 2)
2 Al 0.000 0.000 0.645 (multiplicity 2)
3 Pb 0.000 0.000 0.321 (multiplicity 2)

[2]
This record from the Alexandria database describes a crystal of LiAl2Pb relaxed with PBEsol. The functional is SCAN.

Results
D(E_F) = 1.11 states/eV/cell
Final energy = -23.456 eV/atom
Theoretical density = 5.67 g/cm³
Total magnetic moment = 0.00 Bohr magnetons per cell
Energy relative to the elements = -0.04 eV/atom

Lattice parameters (Å, degrees): 4.123 4.123 4.622 90.00 90.00 90.00
Space group P4/mmm (No. 123)
Symmetry-distinct sites (fractional):
1 Li 0.000 0.000 0.000 (multiplicity 1)
2 Al 0.000 0.500 0.500 (multiplicity 2)
3 Pb 0.500 0.500 0.000 (multiplicity 1)

[3]
This record from the Alexandria database describes a crystal of LiAl2Pb relaxed with PBEsol. The functional is SCAN.

Results
D(E_F) = 2.77 states/eV/cell
Final energy = -23.441 eV/atom
Theoretical density = 5.70 g/cm³
Total magnetic moment = 0.00 Bohr magnetons per cell
Energy relative to the elements = -0.02 eV/atom

Lattice parameters (Å, degrees): 4.072 4.072 9.421 90.00 90.00 90.00
Space group I4/mmm (No. 139)
Symmetry-distinct sites (fractional):
1 Li 0.000 0.000 0.000 (multiplicity 2)
2 Al 0.000 0.500 0.250 (multiplicity 4)
3 Pb 0.000 0.000 0.500 (multiplicity 2)

[4]
This record from the Alexandria database describes a crystal of LiAl2Pb relaxed with PBEsol. The functional is SCAN.

Results
D(E_F) = 1.70 states/eV/cell
Final energy = -23.339 eV/atom
Theoretical density = 5.41 g/cm³
Total magnetic moment = 0.00 Bohr magnetons per cell
Energy relative to the elements = 0.08 eV/atom

Lattice parameters (Å, degrees): 3.205 4.523 5.681 90.00 90.00 90.00
Space group Pmmm (No. 47)
Symmetry-distinct sites (fractional):
1 Li 0.000 0.000 0.000 (multiplicity 1)
2 Al 0.500 0.500 0.238 (multiplicity 2)
3 Pb 0.000 0.000 0.500 (multiplicity 1)

[5]
This record from the Alexandria database describes a crystal of LiAlPb relaxed with PBEsol. The functional is SCAN.

Results
D(E_F) = 2.24 states/eV/cell
Final energy = -28.704 eV/atom
Theoretical density = 6.30 g/cm³
Total magnetic moment = 0.00 Bohr magnetons per cell
Energy relative to the elements = -0.06 eV/atom

Lattice parameters (Å, degrees): 3.384 4.140 9.076 90.00 90.00 90.00
Space group Imm2 (No. 44)
Symmetry-distinct sites (fractional):
1 Li 0.000 0.000 0.000 (multiplicity 2)
2 Al 0.000 0.000 0.335 (multiplicity 2)
3 Pb 0.000 0.000 0.670 (multiplicity 2)

[6]
This record from the Alexandria database describes a crystal of Li2AlPd relaxed with PBEsol. The functional is SCAN.

Results
D(E_F) = 5.65 states/eV/cell
Final energy = -11.919 eV/atom
Theoretical density = 4.45 g/cm³
Total magnetic moment = 0.00 Bohr magnetons per cell
Energy relative to the elements = -0.59 eV/atom

Lattice parameters (Å, degrees): 6.036 6.036 6.036 90.00 90.00 90.00
Space group F-43m (No. 216)
Symmetry-distinct sites (fractional):
1 Li 0.000 0.000 0.000 (multiplicity 4)
2 Li 0.250 0.250 0.250 (multiplicity 4)
3 Al 0.000 0.000 0.500 (multiplicity 4)
4 Pd 0.250 0.250 0.750 (multiplicity 4)

[7]
This record from the Alexandria database describes a crystal of Li2AlPd relaxed with PBEsol. The functional is SCAN.

Results
D(E_F) = 4.55 states/eV/cell
Final energy = -11.660 eV/atom
Theoretical density = 3.98 g/cm³
Total magnetic moment = 0.00 Bohr magnetons per cell
Energy relative to the elements = -0.33 eV/atom

Lattice parameters (Å, degrees): 3.561 3.561 19.370 90.00 90.00 90.00
Space group I-42d (No. 122)
Symmetry-distinct sites (fractional):
1 Li 0.238 0.250 0.125 (multiplicity 8)
2 Al 0.000 0.000 0.500 (multiplicity 4)
3 Pd 0.000 0.000 0.000 (multiplicity 4)

[8]
This record from the Alexandria database describes a crystal of LiAl3Pd relaxed with PBEsol. The functional is SCAN.

Results
D(E_F) = 1.04 states/eV/cell
Final energy = -11.836 eV/atom
Theoretical density = 3.08 g/cm³
Total magnetic moment = 0.00 Bohr magnetons per cell
Energy relative to the elements = -0.15 eV/atom

Lattice parameters (Å, degrees): 4.716 4.716 4.716 90.00 90.00 90.00
Space group Pm-3m (No. 221)
Symmetry-distinct sites (fractional):
1 Li 0.000 0.000 0.000 (multiplicity 1)
2 Al 0.000 0.500 0.500 (multiplicity 3)
3 Pd 0.500 0.500 0.500 (multiplicity 1)

[9]
This record from the Alexandria database describes a crystal of Li2PmAl relaxed with PBEsol. The functional is SCAN.

Results
D(E_F) = 3.79 states/eV/cell
Final energy = -14.336 eV/atom
Theoretical density = 4.01 g/cm³
Total magnetic moment = 0.00 Bohr magnetons per cell
Energy relative to the elements = -0.21 eV/atom

Lattice parameters (Å, degrees): 6.755 6.755 6.755 90.00 90.00 90.00
Space group Fm-3m (No. 225)
Symmetry-distinct sites (fractional):
1 Li 0.250 0.250 0.250 (multiplicity 8)
2 Pm 0.000 0.000 0.000 (multiplicity 4)
3 Al 0.000 0.000 0.500 (multiplicity 4)

[10]
This record from the Alexandria database describes a crystal of LiPm2Al relaxed with PBEsol. The functional is SCAN.

Results
D(E_F) = 13.87 states/eV/cell
Final energy = -24.744 eV/atom
Theoretical density = 5.41 g/cm³
Total magnetic moment = 0.06 Bohr magnetons per cell
Energy relative to the elements = -0.22 eV/atom

Lattice parameters (Å, degrees): 7.353 7.353 7.353 90.00 90.00 90.00
Space group Fm-3m (No. 225)
Symmetry-distinct sites (fractional):
1 Li 0.000 0.000 0.000 (multiplicity 4)
2 Pm 0.250 0.250 0.250 (multiplicity 8)
3 Al 0.000 0.000 0.500 (multiplicity 4)

[11]
This record from the Alexandria database describes a crystal of LiPr2Al relaxed with PBEsol. The functional is SCAN.

Results
D(E_F) = 12.87 states/eV/cell
Final energy = -24.406 eV/atom
Theoretical density = 5.07 g/cm³
Total magnetic moment = 0.00 Bohr magnetons per cell
Energy relative to the elements = -0.21 eV/atom

Lattice parameters (Å, degrees): 7.453 7.453 7.453 90.00 90.00 90.00
Space group Fm-3m (No. 225)
Symmetry-distinct sites (fractional):
1 Li 0.000 0.000 0.000 (multiplicity 4)
2 Pr 0.250 0.250 0.250 (multiplicity 8)
3 Al 0.000 0.000 0.500 (multiplicity 4)

[12]
This record from the Alexandria database describes a crystal of Li2PrAl relaxed with PBEsol. The functional is SCAN.

Results
D(E_F) = 3.79 states/eV/cell
Final energy = -14.174 eV/atom
Theoretical density = 3.80 g/cm³
Total magnetic moment = 0.00 Bohr magnetons per cell
Energy relative to the elements = -0.21 eV/atom

Lattice parameters (Å, degrees): 6.826 6.826 6.826 90.00 90.00 90.00
Space group Fm-3m (No. 225)
Symmetry-distinct sites (fractional):
1 Li 0.250 0.250 0.250 (multiplicity 8)
2 Pr 0.000 0.000 0.000 (multiplicity 4)
3 Al 0.000 0.000 0.500 (multiplicity 4)

[13]
This record from the Alexandria database describes a crystal of LiAlPt2 relaxed with PBEsol. The functional is SCAN.

Results
D(E_F) = 0.83 states/eV/cell
Final energy = -38.719 eV/atom
Theoretical density = 13.27 g/cm³
Total magnetic moment = 0.00 Bohr magnetons per cell
Energy relative to the elements = -1.09 eV/atom

Lattice parameters (Å, degrees): 2.851 3.285 5.665 90.00 90.00 90.00
Space group Pmmm (No. 47)
Symmetry-distinct sites (fractional):
1 Li 0.000 0.000 0.000 (multiplicity 1)
2 Al 0.000 0.000 0.500 (multiplicity 1)
3 Pt 0.500 0.500 0.248 (multiplicity 2)

[14]
This record from the Alexandria database describes a crystal of LiAlPt2 relaxed with PBEsol. The functional is SCAN.

Results
D(E_F) = 4.52 states/eV/cell
Final energy = -38.218 eV/atom
Theoretical density = 11.61 g/cm³
Total magnetic moment = 0.00 Bohr magnetons per cell
Energy relative to the elements = -0.59 eV/atom

Lattice parameters (Å, degrees): 6.685 6.685 5.430 90.00 90.00 90.00
Space group I-42d (No. 122)
Symmetry-distinct sites (fractional):
1 Li 0.000 0.000 0.000 (multiplicity 4)
2 Al 0.000 0.000 0.500 (multiplicity 4)
3 Pt 0.237 0.250 0.625 (multiplicity 8)

[15]
This record from the Alexandria database describes a crystal of Li4AlPt relaxed with PBEsol. The functional is SCAN.

Results
D(E_F) = 6.46 states/eV/cell
Final energy = -14.899 eV/atom
Theoretical density = 5.45 g/cm³
Total magnetic moment = 0.00 Bohr magnetons per cell
Energy relative to the elements = -0.32 eV/atom

Lattice parameters (Å, degrees): 6.729 6.729 6.729 90.00 90.00 90.00
Space group F-43m (No. 216)
Symmetry-distinct sites (fractional):
1 Li 0.123 0.123 0.123 (multiplicity 16)
2 Al 0.000 0.000 0.500 (multiplicity 4)
3 Pt 0.250 0.250 0.750 (multiplicity 4)

[16]
This record from the Alexandria database describes a crystal of LiAlPt2 relaxed with PBEsol. The functional is SCAN.

Results
D(E_F) = 0.88 states/eV/cell
Final energy = -38.699 eV/atom
Theoretical density = 13.19 g/cm³
Total magnetic moment = 0.00 Bohr magnetons per cell
Energy relative to the elements = -1.07 eV/atom

Lattice parameters (Å, degrees): 2.887 2.887 6.404 90.00 90.00 90.00
Space group P4/mmm (No. 123)
Symmetry-distinct sites (fractional):
1 Li 0.000 0.000 0.000 (multiplicity 1)
2 Al 0.000 0.000 0.500 (multiplicity 1)
3 Pt 0.500 0.500 0.253 (multiplicity 2)

[17]
This record from the Alexandria database describes a crystal of LiAlPt2 relaxed with PBEsol. The functional is SCAN.

Results
D(E_F) = 1.84 states/eV/cell
Final energy = -38.733 eV/atom
Theoretical density = 13.21 g/cm³
Total magnetic moment = 0.00 Bohr magnetons per cell
Energy relative to the elements = -1.10 eV/atom

Lattice parameters (Å, degrees): 5.707 6.534 2.859 90.00 90.00 90.00
Space group Cmmm (No. 65)
Symmetry-distinct sites (fractional):
1 Li 0.000 0.000 0.000 (multiplicity 2)
2 Al 0.000 0.500 0.000 (multiplicity 2)
3 Pt 0.250 0.250 0.500 (multiplicity 4)

[18]
This record from the Alexandria database describes a crystal of Li2AlPt2 relaxed with PBEsol. The functional is SCAN.

Results
D(E_F) = 3.03 states/eV/cell
Final energy = -31.200 eV/atom
Theoretical density = 10.71 g/cm³
Total magnetic moment = 0.00 Bohr magnetons per cell
Energy relative to the elements = -0.62 eV/atom

Lattice parameters (Å, degrees): 3.066 3.066 14.216 90.00 90.00 90.00
Space group I4/mmm (No. 139)
Symmetry-distinct sites (fractional):
1 Li 0.000 0.500 0.250 (multiplicity 4)
2 Al 0.000 0.000 0.000 (multiplicity 2)
3 Pt 0.000 0.000 0.398 (multiplicity 4)

[19]
This record from the Alexandria database describes a crystal of LiAlPt4 relaxed with PBEsol. The functional is SCAN.

Results
D(E_F) = 21.23 states/eV/cell
Final energy = -48.876 eV/atom
Theoretical density = 13.63 g/cm³
Total magnetic moment = 0.00 Bohr magnetons per cell
Energy relative to the elements = -0.39 eV/atom

Lattice parameters (Å, degrees): 7.348 7.348 7.348 90.00 90.00 90.00
Space group F-43m (No. 216)
Symmetry-distinct sites (fractional):
1 Li 0.000 0.000 0.000 (multiplicity 4)
2 Al 0.250 0.250 0.750 (multiplicity 4)
3 Pt 0.125 0.125 0.375 (multiplicity 16)

[20]
This record from the Alexandria database describes a crystal of Li2Al2Pt relaxed with PBEsol. The functional is SCAN.

Results
D(E_F) = 3.14 states/eV/cell
Final energy = -18.542 eV/atom
Theoretical density = 5.31 g/cm³
Total magnetic moment = 0.00 Bohr magnetons per cell
Energy relative to the elements = -0.45 eV/atom

Lattice parameters (Å, degrees): 6.419 6.419 3.993 90.00 90.00 90.00
Space group P4/mbm (No. 127)
Symmetry-distinct sites (fractional):
1 Li 0.166 0.334 0.000 (multiplicity 4)
2 Al 0.146 0.646 0.500 (multiplicity 4)
3 Pt 0.000 0.000 0.500 (multiplicity 2)